[1]
DFT (PBE) results for a relaxed CrSbW2 crystal.

Raw formation energy = 0.65 eV/atom
Calculated density = 13.370 g/cm³

abc: 8.6503 8.6503 8.6503
angles: 20.16 20.16 20.16
Last column: nearest neighbours and their distance in Å.
Fractional positions:
Cr 0.0000 0.0000 0.0000  6 W 2.56
Sb 0.5000 0.5000 0.5000  6 W 2.94, 6 Sb 3.03
W 0.2596 0.2596 0.2596  3 Cr 2.56
W 0.7404 0.7404 0.7404  3 Cr 2.56

=====

[2]
DFT (PBE) results for a relaxed CrSb3W crystal.

Raw formation energy = 0.98 eV/atom
Relative energy among the computed polymorphs = 0.00 eV per formula unit
Calculated density = 6.836 g/cm³

abc: 5.2657 5.2657 5.2657
angles: 90.00 90.00 90.00
Last column: nearest neighbours and their distance in Å.
Fractional positions:
Cr 0.0000 0.0000 0.0000  12 Sb 3.72
Sb 0.0000 0.5000 0.5000  2 W 2.63
Sb 0.5000 0.0000 0.5000  2 W 2.63
Sb 0.5000 0.5000 0.0000  2 W 2.63
W 0.5000 0.5000 0.5000  6 Sb 2.63

=====

[3]
DFT (PBE) results for a relaxed ZnCrSbW2 crystal.

Raw formation energy = 1.47 eV/atom
Calculated density = 10.067 g/cm³

abc: 4.5906 4.5906 4.7498
angles: 90.00 90.00 90.00
Last column: nearest neighbours and their distance in Å.
Fractional positions:
Zn 0.0000 0.0000 0.0000  4 Sb 3.25, 8 W 3.30
Cr 0.5000 0.5000 0.5000  4 W 2.30, 2 Sb 2.37
Sb 0.5000 0.5000 0.0000  2 Cr 2.37
W 0.0000 0.5000 0.5000  2 Cr 2.30
W 0.5000 0.0000 0.5000  2 Cr 2.30

=====

[4]
DFT (PBE) results for a relaxed YCrSb crystal.

Raw formation energy = -0.29 eV/atom
Calculated density = 6.032 g/cm³

abc: 4.5807 4.5807 3.9790
angles: 90.00 90.00 120.00
Last column: nearest neighbours and their distance in Å.
Fractional positions:
Y 0.0000 0.0000 0.0000  6 Cr 3.31, 6 Sb 3.31
Cr 0.6667 0.3333 0.5000  3 Sb 2.64
Sb 0.3333 0.6667 0.5000  3 Cr 2.64

=====

[5]
DFT (PBE) results for a relaxed YCrSb2 crystal.

Raw formation energy = -0.25 eV/atom
Relative energy among the computed polymorphs = 0.74 eV per formula unit
Calculated density = 6.607 g/cm³

abc: 4.0249 4.7837 5.0177
angles: 90.00 90.00 90.00
Last column: nearest neighbours and their distance in Å.
Fractional positions:
Y 0.0000 0.0000 0.0000  8 Sb 3.13-3.22, 4 Cr 3.47
Cr 0.0000 0.5000 0.5000  8 Sb 3.13-3.22, 4 Y 3.47
Sb 0.5000 0.0000 0.5000  4 Cr 3.13, 4 Y 3.22, 4 Sb 3.47
Sb 0.5000 0.5000 0.0000  4 Y 3.13, 4 Cr 3.22, 4 Sb 3.47

=====

[6]
DFT (PBE) results for a relaxed YCr2Sb crystal.

Raw formation energy = 0.40 eV/atom
Calculated density = 6.465 g/cm³

abc: 8.9441 8.9441 8.9441
angles: 21.05 21.05 21.05
Last column: nearest neighbours and their distance in Å.
Fractional positions:
Y 0.0000 0.0000 0.0000  3 Cr 3.00, 6 Y 3.27, 3 Sb 3.31
Cr 0.4786 0.4786 0.4786  3 Cr 2.40
Cr 0.7557 0.7557 0.7557  3 Cr 2.40
Sb 0.2297 0.2297 0.2297  3 Cr 2.91